1.
6
Lattice="3.2169 -0.0106 0.0026 -1.5011 5.2419 -0.0059 -0.1968 1.2483 7.4386" Properties=species:S:1:pos:R:3 comment="CaTcRh | the Alexandria database | PBE | optimized geometry" space_group=P1 formation_enthalpy_0k_ev_per_atom=0.098 vol_a3_per_fu=62.67 e_above_lowest_polymorph_mev_per_atom=200 crystal_system=triclinic pbc="T T T"
Tc 1.4232 3.4158 5.7308
Tc -0.1795 4.5373 4.4237
Ca 1.2501 2.1313 2.4946
Ca -0.3593 5.8546 7.3883
Rh 2.7678 1.3820 4.9681
Rh 1.4480 4.9069 2.3988

***

2.
4
Lattice="4.1577 0.0000 0.0000 2.0788 3.6006 0.0000 2.0788 1.2002 11.0466" Properties=species:S:1:pos:R:3 comment="Ac2DyGe | the Alexandria database | PBE | optimized geometry" space_group=R-3m formation_enthalpy_0k_ev_per_atom=0.121 vol_a3_per_fu=165.37 e_above_lowest_polymorph_mev_per_atom=307 crystal_system=trigonal pbc="T T T"
Ac 6.2365 3.6006 3.6324
Ac 2.0788 1.2002 7.4142
Dy 0.0000 0.0000 0.0000
Ge 4.1577 2.4004 5.5233

***

3.
12
Lattice="-0.4122 3.9129 -1.6193 -5.0921 2.3708 7.0253 9.3232 0.1106 3.4834" Properties=species:S:1:pos:R:3 comment="KTh2Tl3S6 | the Alexandria database | PBE | optimized geometry" space_group=C2/m formation_energy_uncorrected_ev_per_atom=-1.289 vol_a3_per_fu=359.32 crystal_system=monoclinic pbc="T T T"
S 1.4412 3.3944 7.8354
S 2.3776 2.9999 1.0540
S 3.5548 2.3970 4.8872
S 4.6504 5.6531 6.8866
S 0.2640 3.9973 4.0022
S -0.8316 0.7412 2.0028
K -0.2061 1.9565 -0.8097
Th 2.4439 4.9271 5.6942
Th 1.3749 1.4671 3.1952
Tl 5.1789 3.7836 2.2346
Tl -2.7522 3.1419 2.7030
Tl -1.3600 2.6107 6.6548

***

4.
4
Lattice="4.0882 0.0000 0.0000 0.0000 3.2214 0.0049 0.0000 1.6062 5.4525" Properties=species:S:1:pos:R:3 comment="ScSiAu2 | the Alexandria database | PBE | optimized geometry" space_group=Amm2 formation_energy_uncorrected_ev_per_atom=-0.472 vol_a3_per_fu=71.78 crystal_system=orthorhombic pbc="T T T"
Si 2.0441 4.2234 3.9763
Au 2.0441 1.0054 1.3643
Au 0.0000 4.2248 5.4132
Sc 0.0000 2.6154 2.8897